(1)
## Li3Ac3FeO8 (PBE+U)

Data for a geometry-optimized Li3Ac3FeO8 structure.

Unit cell a=10.431 b=7.326 c=6.380 alpha=90.00 beta=114.64 gamma=90.00
Space group C2/m (No. 12)
One atom of each set of equivalent atoms:
Li 0.000 0.000 0.000 [2 per cell]
Li 0.250 0.250 0.500 [4 per cell]
Ac 0.000 0.500 0.500 [2 per cell]
Ac 0.250 0.250 0.000 [4 per cell]
Fe 0.000 0.000 0.500 [2 per cell]
O 0.010 0.208 0.283 [8 per cell]
O 0.217 0.000 0.698 [4 per cell]
O 0.246 0.500 0.755 [4 per cell]

**Final energy**: -6.441 eV/atom
**Magnetization**: 4.01 μB per formula unit
**Crystal system**: monoclinic

=====

(2)
## LiAcFe2O5 (PBE+U)

Data for a geometry-optimized LiAcFe2O5 structure.

Unit cell a=3.933 b=3.933 c=7.158 alpha=90.00 beta=90.00 gamma=90.00
Space group P4/mmm (No. 123)
One atom of each set of equivalent atoms:
Li 0.000 0.000 0.000 [1 per cell]
Ac 0.000 0.000 0.500 [1 per cell]
Fe 0.500 0.500 0.225 [2 per cell]
O 0.000 0.500 0.217 [4 per cell]
O 0.500 0.500 0.500 [1 per cell]

**Final energy**: -6.600 eV/atom
**Magnetization**: 9.90 μB per formula unit
**Crystal system**: tetragonal

=====

(3)
## LiAc2FeO5 (PBE+U)

Data for a geometry-optimized LiAc2FeO5 structure.

Unit cell a=3.617 b=14.219 c=9.710 alpha=90.00 beta=90.00 gamma=90.00
Space group Cmc2_1 (No. 36)
One atom of each set of equivalent atoms:
Li 0.000 0.223 0.000 [4 per cell]
Ac 0.000 0.119 0.304 [4 per cell]
Ac 0.000 0.130 0.683 [4 per cell]
Fe 0.000 0.416 0.479 [4 per cell]
O 0.000 0.043 0.034 [4 per cell]
O 0.000 0.303 0.357 [4 per cell]
O 0.000 0.315 0.642 [4 per cell]
O 0.000 0.355 0.004 [4 per cell]
O 0.000 0.486 0.295 [4 per cell]

**Final energy**: -7.065 eV/atom
**Magnetization**: 4.97 μB per formula unit
**Crystal system**: orthorhombic

=====

(4)
## LiAc4Fe3O12 (PBE+U)

Data for a geometry-optimized LiAc4Fe3O12 structure.

Unit cell a=7.954 b=7.954 c=7.954 alpha=90.00 beta=90.00 gamma=90.00
Space group Im-3m (No. 229)
One atom of each set of equivalent atoms:
Li 0.000 0.000 0.000 [2 per cell]
Ac 0.250 0.250 0.250 [8 per cell]
Fe 0.000 0.000 0.500 [6 per cell]
O 0.000 0.000 0.261 [12 per cell]
O 0.000 0.250 0.500 [12 per cell]

**Final energy**: -7.172 eV/atom
**Magnetization**: 13.00 μB per formula unit
**Crystal system**: cubic

=====

- Which of these has the lowest final energy?
  LiAc4Fe3O12

=====

Repeat the first record exactly.
## Li3Ac3FeO8 (PBE+U)

Data for a geometry-optimized Li3Ac3FeO8 structure.

Unit cell a=10.431 b=7.326 c=6.380 alpha=90.00 beta=114.64 gamma=90.00
Space group C2/m (No. 12)
One atom of each set of equivalent atoms:
Li 0.000 0.000 0.000 [2 per cell]
Li 0.250 0.250 0.500 [4 per cell]
Ac 0.000 0.500 0.500 [2 per cell]
Ac 0.250 0.250 0.000 [4 per cell]
Fe 0.000 0.000 0.500 [2 per cell]
O 0.010 0.208 0.283 [8 per cell]
O 0.217 0.000 0.698 [4 per cell]
O 0.246 0.500 0.755 [4 per cell]

**Final energy**: -6.441 eV/atom
**Magnetization**: 4.01 μB per formula unit
**Crystal system**: monoclinic

=====

- What is the final energy in the second record?
  -6.600 eV/atom